PBE-GGA USI, relaxed; crystal system = tetragonal; VASP energy = -6.655 eV per atom; DOS at the Fermi energy = 11.10 states/eV per cell
1.0
-2.049 -2.146 -4.614
-2.804 -3.675 2.954
-4.742 3.869 0.307
S I U
2 2 2
direct
0.750 0.750 0.000
0.250 0.250 0.000
0.250 0.750 0.500
0.750 0.250 0.500
0.750 0.250 0.000
0.250 0.750 0.000


PBE-GGA USI3, relaxed; crystal system = orthorhombic; VASP energy = -4.840 eV per atom; DOS at the Fermi energy = 9.59 states/eV per cell
1.0
8.948 -0.380 -0.034
-4.723 7.609 0.034
-4.272 -2.353 7.512
U I S
2 6 2
direct
0.032 0.532 0.000
0.532 0.032 0.000
0.532 0.807 0.775
0.032 0.307 0.776
0.032 0.756 0.225
0.532 0.256 0.224
0.026 0.282 0.244
0.038 0.782 0.756
0.623 0.282 0.841
0.441 0.782 0.159


PBE-GGA US8I2, relaxed; crystal system = triclinic; VASP energy = -4.545 eV per atom; DOS at the Fermi energy = 1.63 states/eV per cell
1.0
5.731 -1.542 -0.291
-1.696 6.350 2.313
-0.261 0.115 10.484
S I U
8 2 1
direct
0.975 0.332 0.757
0.025 0.668 0.243
0.674 0.607 0.944
0.992 0.924 0.268
0.408 0.011 0.912
0.008 0.076 0.732
0.326 0.393 0.056
0.592 0.989 0.088
0.625 0.241 0.386
0.375 0.759 0.614
0.000 0.000 0.000


PBE-GGA USI2, relaxed; crystal system = monoclinic; VASP energy = -5.550 eV per atom; DOS at the Fermi energy = 5.71 states/eV per cell
1.0
-0.402 -3.174 2.323
4.338 2.319 0.555
-5.802 4.473 5.105
U S I
1 1 2
direct
0.732 0.465 0.375
0.439 0.878 0.375
0.245 0.490 0.654
0.083 0.167 0.096


PBE-GGA USI3, relaxed; crystal system = monoclinic; VASP energy = -4.856 eV per atom; DOS at the Fermi energy = 15.68 states/eV per cell
1.0
-7.348 -0.021 9.374
0.213 -9.216 0.146
10.232 2.515 8.026
U I S
4 12 4
direct
0.135 0.081 0.123
0.865 0.919 0.877
0.135 0.919 0.377
0.865 0.081 0.623
0.877 0.376 0.577
0.375 0.921 0.394
0.125 0.067 0.604
0.877 0.624 0.923
0.375 0.079 0.106
0.875 0.933 0.396
0.875 0.067 0.104
0.123 0.376 0.077
0.625 0.921 0.894
0.625 0.079 0.606
0.125 0.933 0.896
0.123 0.624 0.423
0.128 0.167 0.315
0.128 0.833 0.185
0.872 0.833 0.685
0.872 0.167 0.815


PBE-GGA US2I2, relaxed; crystal system = monoclinic; VASP energy = -5.392 eV per atom; DOS at the Fermi energy = 12.33 states/eV per cell
1.0
-4.412 -5.228 -3.630
-2.256 -6.270 3.511
-8.116 1.741 1.119
I U S
4 2 4
direct
0.573 0.388 0.766
0.961 0.612 0.766
0.039 0.388 0.234
0.427 0.612 0.234
0.143 0.714 0.000
0.857 0.286 0.000
0.279 0.000 0.887
0.721 0.000 0.113
0.885 0.000 0.260
0.115 0.000 0.740


PBE-GGA US6I2, relaxed; crystal system = triclinic; VASP energy = -4.725 eV per atom
1.0
7.480 -0.579 1.289
-3.845 5.888 -6.329
3.360 -1.863 9.985
S I U
6 2 1
direct
0.657 0.708 0.765
0.343 0.292 0.235
0.108 0.167 0.346
0.001 0.493 0.287
0.999 0.507 0.713
0.892 0.833 0.654
0.406 0.055 0.771
0.594 0.945 0.229
0.000 0.000 0.000


PBE-GGA USI, relaxed; crystal system = trigonal; VASP energy = -6.675 eV per atom; DOS at the Fermi energy = 4.15 states/eV per cell
1.0
-4.077 -3.263 5.013
2.473 -3.230 -0.091
0.737 3.054 2.586
S I U
1 1 1
direct
0.219 0.333 0.667
0.743 0.667 0.333
0.038 0.000 0.000


no.,formation energy from raw total energies (eV per formula unit),total magnetization (μB per formula unit)
1,-3.00,2.7
2,-4.14,1.0
3,-2.59,0.0
4,-3.68,2.0
5,-4.21,1.0
6,-4.32,2.0
7,-3.37,0.0
8,-3.06,3.0